Below is a relaxed CeNd2HoBi5 crystal, with properties calculated at the PBE level.

Cell lengths 5.576, 5.576, 11.876 Å; angles 90.00, 90.00, 90.00 degrees
Element x y z (fractional)
Bi: 0.000 0.500 0.500
Bi: 0.500 0.000 0.500
Nd: 0.500 0.500 0.277
Bi: 0.000 0.000 0.755
Bi: 0.500 0.500 0.000
Ho: 0.000 0.000 0.000
Nd: 0.500 0.500 0.723
Ce: 0.000 0.000 0.500
Bi: 0.000 0.000 0.245

Computed properties:
calculated formation energy	-0.06	eV per atom
space group	No. 123

***

Below is a relaxed CeSmNi10 crystal, with properties calculated at the PBE level.

Cell lengths 3.983, 4.910, 8.484 Å; angles 90.00, 90.00, 90.00 degrees
Element x y z (fractional)
Ni: 0.000 0.500 0.172
Ni: 0.000 0.000 0.662
Ni: 0.500 0.500 0.000
Ce: 0.000 0.500 0.500
Ni: 0.500 0.750 0.251
Ni: 0.000 0.500 0.828
Sm: 0.000 0.000 0.000
Ni: 0.500 0.750 0.749
Ni: 0.000 0.000 0.338
Ni: 0.500 0.000 0.500
Ni: 0.500 0.250 0.251
Ni: 0.500 0.250 0.749

Computed properties:
calculated formation energy	-0.32	eV per atom
space group	No. 47

***

Below is a relaxed AcEuTlBr crystal, with properties calculated at the PBE level.

Cell lengths 5.715, 5.715, 5.715 Å; angles 60.00, 60.00, 60.00 degrees
Element x y z (fractional)
Eu: 0.000 0.000 0.000
Tl: 0.750 0.750 0.750
Br: 0.250 0.250 0.250
Ac: 0.500 0.500 0.500

Computed properties:
space group	No. 216
uncorrected formation energy	-0.6952	eV/atom

***

Below is a relaxed LaTbSn crystal, with properties calculated at the PBE level.

Cell lengths 8.000, 8.000, 9.689 Å; angles 120.08, 120.08, 77.64 degrees
Element x y z (fractional)
Sn: 0.457 0.957 0.500
Sn: 0.043 0.543 0.500
Sn: 0.207 0.207 0.000
Tb: 0.625 0.375 0.750
La: 0.870 0.870 0.739
Sn: 0.793 0.793 0.000
La: 0.380 0.880 0.761
Tb: 0.125 0.375 0.750
Tb: 0.625 0.375 0.250
Tb: 0.625 0.875 0.250
La: 0.120 0.620 0.239
La: 0.130 0.130 0.261

Computed properties:
calculated formation energy	-0.18	eV per atom
space group	No. 70
relative energy among the computed polymorphs	43.8	kJ/mol of atoms

***

Below is a relaxed MnSi2Cl crystal, with properties calculated at the PBE level.

Cell lengths 7.470, 7.470, 7.470 Å; angles 23.65, 23.65, 23.65 degrees
Element x y z (fractional)
Cl: 0.750 0.750 0.750
Mn: 0.250 0.250 0.250
Si: 0.513 0.513 0.513
Si: 0.987 0.987 0.987

Computed properties:
space group	No. 166
relative energy among the computed polymorphs	13.1	kJ/mol of atoms
uncorrected formation energy	0.1124	eV/atom

***

Below is a relaxed Rb2Mg2TlBr7 crystal, with properties calculated at the PBE level.

Cell lengths 5.378, 5.378, 14.362 Å; angles 79.18, 79.18, 89.99 degrees
Element x y z (fractional)
Br: 0.094 0.594 0.813
Rb: 0.181 0.181 0.639
Br: 0.406 0.906 0.187
Tl: 0.000 0.000 0.000
Br: 0.306 0.306 0.387
Rb: 0.819 0.819 0.361
Br: 0.594 0.094 0.813
Br: 0.906 0.406 0.187
Mg: 0.598 0.598 0.803
Br: 0.500 0.500 0.000
Br: 0.694 0.694 0.613
Mg: 0.402 0.402 0.197

Computed properties:
space group	No. 139
uncorrected formation energy	-1.4437	eV/atom

***

Below is a relaxed La3TeAsCl crystal, with properties calculated at the PBE level.

Cell lengths 4.423, 8.876, 9.803 Å; angles 101.12, 90.00, 90.00 degrees
Element x y z (fractional)
La: 0.250 0.722 0.478
Te: 0.250 0.174 0.224
Te: 0.750 0.826 0.776
La: 0.750 0.278 0.522
La: 0.250 0.114 0.873
La: 0.250 0.576 0.848
La: 0.750 0.886 0.127
Cl: 0.250 0.096 0.583
As: 0.750 0.341 0.840
Cl: 0.750 0.904 0.417
La: 0.750 0.424 0.152
As: 0.250 0.659 0.160

Computed properties:
space group	No. 11
uncorrected formation energy	-1.5053	eV/atom

***

Below is a relaxed La3GeBiBr crystal, with properties calculated at the PBE level.

Cell lengths 4.449, 7.751, 11.857 Å; angles 101.72, 90.00, 90.00 degrees
Element x y z (fractional)
Br: 0.250 0.124 0.634
La: 0.750 0.544 0.151
Ge: 0.250 0.767 0.065
Ge: 0.750 0.233 0.935
La: 0.250 0.724 0.501
La: 0.750 0.276 0.499
La: 0.250 0.456 0.849
La: 0.750 0.043 0.142
Br: 0.750 0.876 0.366
La: 0.250 0.957 0.858
Bi: 0.250 0.346 0.309
Bi: 0.750 0.654 0.691

Computed properties:
space group	No. 11
uncorrected formation energy	-1.0630	eV/atom

***

Number 1: density 7.4 g/cm³. Number 2: density 8.8 g/cm³. Number 3: density 8.3 g/cm³. Number 4: density 6.0 g/cm³. Number 5: density 4.1 g/cm³. Number 6: density 4.1 g/cm³. Number 7: density 5.8 g/cm³. Number 8: density 6.5 g/cm³.